[1]
Below is a relaxed structure of SrAgRh2, with properties calculated at the PBE level.

Cell: 9.6945 9.6945 9.6945 Å, 18.16 18.16 18.16°
Closest atoms and distances in Å follow each position.
Sites, in units of the cell vectors:
Ag: 0.7408 0.7408 0.7408  3 Rh 2.86, 6 Ag 3.06
Rh: 0.9955 0.9955 0.9955  3 Rh 2.69, 3 Ag 2.86
Rh: 0.2581 0.2581 0.2581  3 Rh 2.69
Sr: 0.5055 0.5055 0.5055  3 Rh 3.03, 6 Sr 3.06, 3 Ag 3.31

N(E_F) in states/eV/atom: 1.056
Theoretical density in g/cm³: 8.6
M_tot in μB/cell: 1.48
Symmetry: No. 160
DFT formation energy in eV/atom: 0.56

[2]
Below is a relaxed structure of SrAgRh2, with properties calculated at the PBE level.

Cell: 3.4782 3.4782 6.5504 Å, 90.00 90.00 90.00°
Closest atoms and distances in Å follow each position.
Sites, in units of the cell vectors:
Ag: 0.5000 0.5000 0.7500  8 Rh 2.80
Rh: 0.0000 0.0000 0.9547  1 Rh 2.68, 4 Ag 2.80
Rh: 0.0000 0.0000 0.5453  1 Rh 2.68, 4 Ag 2.80
Sr: 0.5000 0.5000 0.2500  8 Rh 3.13, 2 Ag 3.28, 4 Sr 3.48

N(E_F) in states/eV/atom: 1.910
Theoretical density in g/cm³: 8.4
M_tot in μB/cell: 0.70
Symmetry: No. 123
DFT formation energy in eV/atom: 0.26

[3]
Below is a relaxed structure of SrTbAgRh, with properties calculated at the PBE level.

Cell: 5.1297 5.1297 5.1297 Å, 60.00 60.00 60.00°
Closest atoms and distances in Å follow each position.
Sites, in units of the cell vectors:
Rh: 0.7500 0.7500 0.7500  4 Tb 3.14, 4 Sr 3.14
Tb: 0.5000 0.5000 0.5000  4 Rh 3.14, 4 Ag 3.14
Ag: 0.2500 0.2500 0.2500  4 Tb 3.14, 4 Sr 3.14
Sr: 0.0000 0.0000 0.0000  4 Ag 3.14, 4 Rh 3.14

N(E_F) in states/eV/atom: 0.529
Theoretical density in g/cm³: 8.0
M_tot in μB/cell: 0.00
Symmetry: No. 216
DFT formation energy in eV/atom: -0.32

[4]
Below is a relaxed structure of Sr2TlAgRh, with properties calculated at the PBE level.

Cell: 5.7146 5.7146 5.2220 Å, 90.00 90.00 90.00°
Closest atoms and distances in Å follow each position.
Sites, in units of the cell vectors:
Sr: 0.0000 0.5000 0.0000  2 Rh 2.86
Sr: 0.5000 0.0000 0.0000  2 Rh 2.86
Tl: 0.0000 0.0000 0.5000  2 Rh 2.61
Rh: 0.0000 0.0000 0.0000  2 Tl 2.61, 4 Sr 2.86
Ag: 0.5000 0.5000 0.5000  8 Sr 3.87, 4 Tl 4.04

N(E_F) in states/eV/atom: 0.477
Theoretical density in g/cm³: 5.7
M_tot in μB/cell: 0.00
Symmetry: No. 123
DFT formation energy in eV/atom: -0.15

[5]
Below is a relaxed structure of SrTlAgRh2, with properties calculated at the PBE level.

Cell: 5.1016 5.1361 5.1016 Å, 90.00 90.00 90.00°
Closest atoms and distances in Å follow each position.
Sites, in units of the cell vectors:
Sr: 0.5000 0.5000 0.5000  4 Ag 3.61, 8 Rh 3.62
Tl: 0.0000 0.0000 0.0000  4 Rh 2.55, 2 Ag 2.57
Rh: 0.0000 0.0000 0.5000  2 Tl 2.55
Rh: 0.5000 0.0000 0.0000  2 Tl 2.55
Ag: 0.0000 0.5000 0.0000  2 Tl 2.57

N(E_F) in states/eV/atom: 0.510
Theoretical density in g/cm³: 7.5
M_tot in μB/cell: 0.00
Symmetry: No. 123
DFT formation energy in eV/atom: 0.53

[6]
Below is a relaxed structure of SrYAgRh, with properties calculated at the PBE level.

Cell: 5.1272 5.1272 5.1272 Å, 60.00 60.00 60.00°
Closest atoms and distances in Å follow each position.
Sites, in units of the cell vectors:
Y: 0.7500 0.7500 0.7500  4 Rh 3.14, 4 Ag 3.14
Sr: 0.2500 0.2500 0.2500  4 Rh 3.14, 4 Ag 3.14
Rh: 0.0000 0.0000 0.0000  4 Y 3.14, 4 Sr 3.14
Ag: 0.5000 0.5000 0.5000  4 Sr 3.14, 4 Y 3.14

N(E_F) in states/eV/atom: 0.573
Theoretical density in g/cm³: 6.7
M_tot in μB/cell: 0.00
Symmetry: No. 216
DFT formation energy in eV/atom: -0.32

[7]
Below is a relaxed structure of SrZn3AgRh, with properties calculated at the PBE level.

Cell: 5.7560 6.4803 7.3060 Å, 116.33 90.00 90.00°
Closest atoms and distances in Å follow each position.
Sites, in units of the cell vectors:
Sr: 0.7500 0.2708 0.5416  1 Rh 2.83, 2 Ag 3.06
Sr: 0.2500 0.7292 0.4584  1 Rh 2.83, 2 Ag 3.06
Zn: 0.2500 0.1383 0.2765  1 Rh 2.53, 1 Ag 2.78
Zn: 0.0000 0.3004 0.0000  2 Rh 2.52, 1 Zn 2.59, 2 Ag 2.75
Zn: 0.5000 0.6996 0.0000  2 Rh 2.52, 1 Zn 2.59, 2 Ag 2.75
Zn: 0.5000 0.3004 0.0000  2 Rh 2.52, 1 Zn 2.59, 2 Ag 2.75
Zn: 0.0000 0.6996 0.0000  2 Rh 2.52, 1 Zn 2.59, 2 Ag 2.75
Zn: 0.7500 0.8617 0.7235  1 Rh 2.53, 1 Ag 2.78
Ag: 0.2500 0.3506 0.7011  5 Zn 2.75-2.78, 2 Sr 3.06
Ag: 0.7500 0.6494 0.2989  5 Zn 2.75-2.78, 2 Sr 3.06
Rh: 0.2500 0.9455 0.8909  5 Zn 2.52-2.53
Rh: 0.7500 0.0545 0.1091  5 Zn 2.52-2.53

N(E_F) in states/eV/atom: 0.421
Theoretical density in g/cm³: 6.7
M_tot in μB/cell: 0.00
Symmetry: No. 63
DFT formation energy in eV/atom: -0.19

[8]
Below is a relaxed structure of SrZn2AgRh, with properties calculated at the PBE level.

Cell: 4.7942 4.7942 5.2436 Å, 90.00 90.00 90.00°
Closest atoms and distances in Å follow each position.
Sites, in units of the cell vectors:
Sr: 0.5000 0.5000 0.5000  4 Ag 3.39, 8 Zn 3.55
Zn: 0.0000 0.5000 0.0000  2 Rh 2.40
Zn: 0.5000 0.0000 0.0000  2 Rh 2.40
Rh: 0.0000 0.0000 0.0000  4 Zn 2.40, 2 Ag 2.62
Ag: 0.0000 0.0000 0.5000  2 Rh 2.62

N(E_F) in states/eV/atom: 0.534
Theoretical density in g/cm³: 5.9
M_tot in μB/cell: 0.00
Symmetry: No. 123
DFT formation energy in eV/atom: -0.16

[9]
Below is a relaxed structure of TaAg2Rh, with properties calculated at the PBE level.

Cell: 5.1838 5.1838 2.8502 Å, 90.00 90.00 118.75°
Closest atoms and distances in Å follow each position.
Sites, in units of the cell vectors:
Ta: 0.5000 0.5000 0.5000  2 Rh 2.64, 2 Ta 2.85
Ag: 0.5000 0.0000 0.0000  4 Ag 2.64-2.85
Ag: 0.0000 0.5000 0.0000  4 Ag 2.64-2.85
Rh: 0.0000 0.0000 0.5000  2 Ta 2.64, 2 Rh 2.85

N(E_F) in states/eV/atom: 0.509
Theoretical density in g/cm³: 12.4
M_tot in μB/cell: 0.00
Relative energy among the computed polymorphs in kJ per mole of atoms: 22.5
Symmetry: No. 65
DFT formation energy in eV/atom: 0.23

[10]
Below is a relaxed structure of TaAg2Rh, with properties calculated at the PBE level.

Cell: 5.1788 5.1788 4.6860 Å, 80.08 80.08 32.65°
Closest atoms and distances in Å follow each position.
Sites, in units of the cell vectors:
Ta: 0.0000 0.0000 0.5000  4 Rh 2.76, 2 Ta 2.91, 6 Ag 2.91-2.96
Ag: 0.2475 0.2475 0.7517  6 Ag 2.75-2.91, 3 Ta 2.91-2.96, 3 Rh 2.91-2.95
Ag: 0.7525 0.7525 0.2483  6 Ag 2.75-2.91, 3 Ta 2.91-2.96, 3 Rh 2.91-2.95
Rh: 0.5000 0.5000 0.0000  4 Ta 2.76, 2 Rh 2.91, 6 Ag 2.91-2.95

N(E_F) in states/eV/atom: 0.664
Theoretical density in g/cm³: 12.4
M_tot in μB/cell: 0.00
Relative energy among the computed polymorphs in kJ per mole of atoms: 8.4
Symmetry: No. 12
DFT formation energy in eV/atom: 0.09

[11]
Below is a relaxed structure of TaAgRh2, with properties calculated at the PBE level.

Cell: 4.9690 4.9690 3.8971 Å, 66.85 66.85 45.86°
Closest atoms and distances in Å follow each position.
Sites, in units of the cell vectors:
Ta: 0.4994 0.4994 0.5005  8 Rh 2.75-2.85, 4 Ag 2.84
Ag: 0.2498 0.2498 0.2502  8 Rh 2.75-2.84, 4 Ta 2.84
Rh: 0.0000 0.0000 0.0001  4 Ta 2.75, 4 Ag 2.83-2.84, 4 Rh 2.84
Rh: 0.7508 0.7508 0.7492  4 Ag 2.75, 4 Ta 2.83-2.85, 4 Rh 2.84

N(E_F) in states/eV/atom: 1.010
Theoretical density in g/cm³: 13.2
M_tot in μB/cell: 0.00
Symmetry: No. 44
DFT formation energy in eV/atom: -0.18

[12]
Below is a relaxed structure of TaAgRh2, with properties calculated at the PBE level.

Cell: 4.4837 4.4837 4.4837 Å, 60.00 60.00 60.00°
Closest atoms and distances in Å follow each position.
Sites, in units of the cell vectors:
Ta: 0.2500 0.2500 0.2500  4 Ag 2.75, 4 Rh 2.75
Ag: 0.5000 0.5000 0.5000  4 Rh 2.75, 4 Ta 2.75
Rh: 0.0000 0.0000 0.0000  4 Ta 2.75, 4 Rh 2.75
Rh: 0.7500 0.7500 0.7500  4 Rh 2.75, 4 Ag 2.75

N(E_F) in states/eV/atom: 0.521
Theoretical density in g/cm³: 12.9
M_tot in μB/cell: 0.00
Symmetry: No. 216
DFT formation energy in eV/atom: 0.12

[13]
Below is a relaxed structure of TaAg2Rh, with properties calculated at the PBE level.

Cell: 7.5056 7.5056 5.9095 Å, 50.58 50.58 90.00°
Closest atoms and distances in Å follow each position.
Sites, in units of the cell vectors:
Rh: 0.5000 0.5000 0.0000  2 Ta 2.60, 4 Ag 2.70
Rh: 0.2500 0.7500 0.5000  2 Ta 2.60, 4 Ag 2.70
Ag: 0.6184 0.1250 0.2500  2 Ag 2.60, 2 Rh 2.70, 2 Ta 2.77
Ag: 0.1316 0.6250 0.2500  2 Ag 2.60, 2 Rh 2.70, 2 Ta 2.77
Ag: 0.3750 0.3816 0.7500  2 Ag 2.60, 2 Rh 2.70, 2 Ta 2.77
Ag: 0.8750 0.8684 0.7500  2 Ag 2.60, 2 Rh 2.70, 2 Ta 2.77
Ta: 0.0000 0.0000 0.0000  2 Rh 2.60, 4 Ag 2.77
Ta: 0.7500 0.2500 0.5000  2 Rh 2.60, 4 Ag 2.77

N(E_F) in states/eV/atom: 1.133
Theoretical density in g/cm³: 11.3
M_tot in μB/cell: 0.00
Relative energy among the computed polymorphs in kJ per mole of atoms: 68.2
Symmetry: No. 122
DFT formation energy in eV/atom: 0.71

[14]
Below is a relaxed structure of TaAg2Rh, with properties calculated at the PBE level.

Cell: 5.7124 5.7124 2.8381 Å, 76.55 76.55 123.00°
Closest atoms and distances in Å follow each position.
Sites, in units of the cell vectors:
Ta: 0.5000 0.5000 0.5000  4 Rh 2.73-2.82, 2 Ta 2.84, 4 Ag 2.88
Ag: 0.0000 0.5000 0.0000  6 Ag 2.73-2.84, 2 Ta 2.88, 2 Rh 2.88
Ag: 0.5000 0.0000 0.0000  6 Ag 2.73-2.84, 2 Ta 2.88, 2 Rh 2.88
Rh: 0.0000 0.0000 0.5000  4 Ta 2.73-2.82, 2 Rh 2.84, 4 Ag 2.88

N(E_F) in states/eV/atom: 0.627
Theoretical density in g/cm³: 12.2
M_tot in μB/cell: 0.00
Relative energy among the computed polymorphs in kJ per mole of atoms: 17.5
Symmetry: No. 12
DFT formation energy in eV/atom: 0.18